# 1
Below is an optimized crystal structure of CdCu2Mo, with properties calculated at the PBE-GGA level.

Computed properties:
Electronic total energy (eV/cell): -18.0
Theoretical density (g/cm3): 9.0
Calculated formation energy (meV/atom): 495

Unit cell a=2.7350 b=4.6422 c=4.8950 alpha=90.00 beta=90.00 gamma=90.00
Last column: nearest neighbours and their distance in Å.
Space group Pmmm (No. 47)
Inequivalent atoms, fractional coordinates:
Cd (0.0000, 0.0000, 0.0000) [1 per cell]  4 Cu 2.69, 2 Cd 2.73, 4 Mo 2.80
Cu (0.0000, 0.5000, 0.5000) [1 per cell]  4 Mo 2.69, 6 Cu 2.73-2.80
Cu (0.5000, 0.5000, 0.0000) [1 per cell]  4 Cd 2.69, 6 Cu 2.73-2.80
Mo (0.5000, 0.0000, 0.5000) [1 per cell]  4 Cu 2.69, 2 Mo 2.73, 4 Cd 2.80



# 2
Below is an optimized crystal structure of PaMnPtAu, with properties calculated at the PBE-GGA level.

Computed properties:
Electronic total energy (eV/cell): -117.5
Theoretical density (g/cm3): 14.2
Calculated formation energy (meV/atom): -349

Unit cell a=6.8260 b=6.8260 c=6.8260 alpha=90.00 beta=90.00 gamma=90.00
Last column: nearest neighbours and their distance in Å.
Space group F-43m (No. 216)
Inequivalent atoms, fractional coordinates:
Pa (0.0000, 0.0000, 0.0000) [4 per cell]  4 Pt 2.96, 4 Au 2.96
Mn (0.0000, 0.0000, 0.5000) [4 per cell]  4 Pt 2.96, 4 Au 2.96
Pt (0.2500, 0.2500, 0.2500) [4 per cell]  4 Mn 2.96, 4 Pa 2.96
Au (0.2500, 0.2500, 0.7500) [4 per cell]  4 Mn 2.96, 4 Pa 2.96



# 3
Below is an optimized crystal structure of Ca2ZrCu2, with properties calculated at the PBE-GGA level.

Computed properties:
Electronic total energy (eV/cell): -40.9
Theoretical density (g/cm3): 4.3
Calculated formation energy (meV/atom): 54

Unit cell a=6.9872 b=6.9872 c=4.7567 alpha=90.00 beta=90.00 gamma=90.00
Last column: nearest neighbours and their distance in Å.
Space group P4/mbm (No. 127)
Inequivalent atoms, fractional coordinates:
Ca (0.1752, 0.3248, 0.0000) [4 per cell]  6 Cu 3.09-3.19, 1 Ca 3.46
Zr (0.0000, 0.0000, 0.5000) [2 per cell]  4 Cu 2.76
Cu (0.1246, 0.6246, 0.5000) [4 per cell]  1 Cu 2.46



# 4
Below is an optimized crystal structure of Mo2C, with properties calculated at the PBE-GGA level.

Computed properties:
Electronic total energy (eV/cell): -118.1
Theoretical density (g/cm3): 8.7
Calculated formation energy (meV/atom): 458

Unit cell a=3.0089 b=10.7606 c=4.8096 alpha=90.00 beta=90.00 gamma=90.00
Last column: nearest neighbours and their distance in Å.
Space group Cmcm (No. 63)
Inequivalent atoms, fractional coordinates:
Mo (0.0000, 0.0619, 0.2500) [4 per cell]  2 C 2.10
Mo (0.0000, 0.2091, 0.7500) [4 per cell]  2 C 2.09
C (0.0000, 0.4261, 0.2500) [4 per cell]  4 Mo 2.09-2.10



# 5
Below is an optimized crystal structure of Fe3Re, with properties calculated at the PBE-GGA level.

Computed properties:
Electronic total energy (eV/cell): -73.8
Theoretical density (g/cm3): 12.0
Calculated formation energy (meV/atom): 230

Unit cell a=4.5306 b=4.0847 c=5.3072 alpha=90.00 beta=90.00 gamma=90.00
Last column: nearest neighbours and their distance in Å.
Space group Pmma (No. 51)
Inequivalent atoms, fractional coordinates:
Fe (0.0000, 0.0000, 0.0000) [2 per cell]  8 Fe 2.27-2.45
Fe (0.2500, 0.0000, 0.4096) [2 per cell]  2 Re 2.43, 6 Fe 2.45-2.53
Fe (0.2500, 0.5000, 0.1277) [2 per cell]  8 Fe 2.43-2.64, 3 Re 2.49-2.53
Re (0.2500, 0.5000, 0.6581) [2 per cell]  5 Fe 2.43-2.53



# 6
Below is an optimized crystal structure of Ac2InPt3, with properties calculated at the PBE-GGA level.

Computed properties:
Electronic total energy (eV/cell): -276.3
Theoretical density (g/cm3): 12.3
ΔE to the lowest computed polymorph (meV/atom): 53.9
Calculated formation energy (meV/atom): -910

Unit cell a=8.2829 b=9.5333 c=15.7978 alpha=90.00 beta=90.00 gamma=90.00
Last column: nearest neighbours and their distance in Å.
Space group Fmmm (No. 69)
Inequivalent atoms, fractional coordinates:
Ac (0.2382, 0.0000, 0.0000) [8 per cell]  10 Pt 3.24-3.48, 2 In 3.41
Ac (0.2500, 0.2500, 0.2500) [8 per cell]  8 Pt 3.33-3.44, 4 In 3.42
In (0.0000, 0.0000, 0.3334) [8 per cell]  3 Pt 2.69
Pt (0.0000, 0.0000, 0.1629) [8 per cell]  1 In 2.69, 2 Pt 2.70
Pt (0.0000, 0.2474, 0.4148) [16 per cell]  1 In 2.69, 2 Pt 2.69-2.70



# 7
Below is an optimized crystal structure of NaB3I, with properties calculated at the PBE-GGA level.

Computed properties:
Electronic total energy (eV/cell): -9.7
Theoretical density (g/cm3): 2.8
ΔE to the lowest computed polymorph (meV/atom): 256.2
Uncorrected formation energy (eV/atom): 2.65

Unit cell a=4.7841 b=4.7841 c=4.7841 alpha=90.00 beta=90.00 gamma=90.00
Last column: nearest neighbours and their distance in Å.
Space group Pm-3m (No. 221)
Inequivalent atoms, fractional coordinates:
Na (0.0000, 0.0000, 0.0000) [1 per cell]  6 B 2.39
B (0.0000, 0.0000, 0.5000) [3 per cell]  2 Na 2.39
I (0.5000, 0.5000, 0.5000) [1 per cell]  12 B 3.38



# 8
Below is an optimized crystal structure of P2PtSeO, with properties calculated at the PBE-GGA level.

Computed properties:
Electronic total energy (eV/cell): -23.0
Theoretical density (g/cm3): 6.6
ΔE to the lowest computed polymorph (meV/atom): 0.0
Uncorrected formation energy (eV/atom): 0.45

Unit cell a=4.8181 b=4.8181 c=3.8094 alpha=90.00 beta=90.00 gamma=90.00
Last column: nearest neighbours and their distance in Å.
Space group P4/mmm (No. 123)
Inequivalent atoms, fractional coordinates:
P (0.0000, 0.5000, 0.0000) [2 per cell]  2 Pt 2.41
Pt (0.0000, 0.0000, 0.0000) [1 per cell]  2 O 1.90
Se (0.5000, 0.5000, 0.5000) [1 per cell]  8 P 3.07, 4 O 3.41
O (0.0000, 0.0000, 0.5000) [1 per cell]  2 Pt 1.90